1.
First-principles (GGA-PBE) data for SrYPt2 after structural relaxation, as listed in Alexandria.

Lattice parameters (Å, degrees): 6.987 6.987 6.987 90.00 90.00 90.00
Space group F-43m (No. 216)
Inequivalent atoms, fractional coordinates:
Sr  0.000  0.000  0.000 [4 per cell]
Y  0.250  0.250  0.250 [4 per cell]
Pt  0.000  0.000  0.500 [4 per cell]
Pt  0.250  0.250  0.750 [4 per cell]

Output
ΔE to the lowest computed polymorph = 52.0 kJ/mol of atoms



2.
First-principles (GGA-PBE) data for Pr5Sm2Sb4 after structural relaxation, as listed in Alexandria.

Lattice parameters (Å, degrees): 24.354 4.233 8.031 90.00 106.64 90.00
Space group C2/m (No. 12)
Inequivalent atoms, fractional coordinates:
Pr  0.000  0.000  0.000 [2 per cell]
Pr  0.079  0.500  0.701 [4 per cell]
Pr  0.173  0.500  0.306 [4 per cell]
Sm  0.217  0.500  0.823 [4 per cell]
Sb  0.045  0.500  0.301 [4 per cell]
Sb  0.144  0.000  0.990 [4 per cell]

Output
energy relative to the elements, uncorrected = -0.580 eV/atom



| no. | final energy (Ry per atom) |
| --- | --- |
| 1 | -0.4073 |
| 2 | -0.3755 |